Mg14ZnGa | PBE-GGA | relaxed

The structure belongs to space group P-6m2 (No. 187); the cell edges are 6.3138, 6.3138 and 10.0498 Å and the angles 90.00°, 90.00° and 120.00°. Symmetry generates all atoms from Mg at (0.0000, 0.0000, 0.2487), Mg at (0.0060, 0.5030, 0.2508), Mg at (0.3322, 0.1661, 0.0000), Mg at (0.3319, 0.1660, 0.5000), Zn at (0.3333, 0.6667, 0.5000) and Ga at (0.3333, 0.6667, 0.0000).

As for the calculated formation energy: -0.01 eV/atom. For the density of states at the Fermi level, the calculation gives 8.71 states/eV per cell. The raw total energy is -1.68 eV per atom.